This record from Alexandria via LeMat-Bulk describes crystalline NaNdTiNbO6F at its relaxed geometry. The functional is GGA-PBEsol.

Lattice parameters (Å, degrees): 7.284 7.284 7.284 121.22 117.88 90.81
Fractional positions:
Na1 0.500 0.000 0.000
Na2 0.500 0.500 0.500
Nd1 0.000 0.000 0.000
Nd2 0.500 0.000 0.500
Ti1 0.000 0.000 0.500
Ti2 0.000 0.500 0.000
Nb1 0.000 0.500 0.500
Nb2 0.500 0.500 0.000
O1 0.063 0.416 0.234
O2 0.063 0.829 0.647
O3 0.079 0.829 0.250
O4 0.317 0.171 0.734
O5 0.317 0.584 0.147
O6 0.318 0.568 0.750
O7 0.682 0.432 0.250
O8 0.683 0.416 0.853
O9 0.683 0.829 0.266
O10 0.921 0.171 0.750
O11 0.937 0.171 0.353
O12 0.937 0.584 0.766
F1 0.378 0.128 0.250
F2 0.622 0.872 0.750

- formation energy (no corrections) (eV per formula unit) = -32.65
- relative energy among the computed polymorphs (eV per formula unit) = 0.033
- energy (eV/atom) = -8.344